No. 1
# Lu4Hf2Co3C3 GGA-PBE optimized geometry
data_Lu4Hf2Co3C3
_chemical_formula_sum 'Lu8 Hf4 Co6 C6'
_space_group_name_H-M_alt 'P -1'
_space_group_IT_number 2
_cell_length_a 5.775
_cell_length_b 5.790
_cell_length_c 13.896
_cell_angle_alpha 79.14
_cell_angle_beta 79.15
_cell_angle_gamma 60.20
loop_
_space_group_symop_operation_xyz
'x,y,z'
'-x,-y,-z'
loop_
_atom_site_label
_atom_site_fract_x
_atom_site_fract_y
_atom_site_fract_z
Lu1 0.037 0.192 0.401
Lu2 0.133 0.301 0.100
Lu3 0.192 0.037 0.901
Lu4 0.301 0.133 0.600
Hf1 0.364 0.527 0.402
Hf2 0.473 0.636 0.098
Co1 0.105 0.424 0.750
Co2 0.107 0.893 0.750
Co3 0.424 0.105 0.250
C1 0.000 0.500 0.500
C2 0.201 0.649 0.001
C3 0.351 0.798 0.499
C4 0.500 0.000 0.000
# E_tot ... -7.40 eV per atom



No. 2
# NbAgBi2 GGA-PBE optimized geometry
data_NbAgBi2
_chemical_formula_sum 'Nb4 Ag4 Bi8'
_space_group_name_H-M_alt 'F -4 3 m'
_space_group_IT_number 216
_space_group_name_Hall 'F -4 2 3'
_cell_length_a 7.250
_cell_length_b 7.250
_cell_length_c 7.250
_cell_angle_alpha 90.00
_cell_angle_beta 90.00
_cell_angle_gamma 90.00
loop_
_atom_site_label
_atom_site_fract_x
_atom_site_fract_y
_atom_site_fract_z
Nb1 0.000 0.000 0.000
Ag1 0.250 0.250 0.250
Bi1 0.000 0.000 0.500
Bi2 0.250 0.250 0.750
# E_tot ... -4.61 eV per atom



No. 3
# Zr GGA-PBE optimized geometry
data_Zr
_chemical_formula_sum 'Zr4'
_space_group_name_H-M_alt 'I 41/a m d'
_space_group_IT_number 141
_cell_length_a 5.561
_cell_length_b 5.561
_cell_length_c 3.046
_cell_angle_alpha 90.00
_cell_angle_beta 90.00
_cell_angle_gamma 90.00
loop_
_space_group_symop_operation_xyz
'x,y,z'
'-x,-y,-z'
'-y+1/4,x+3/4,z+1/4'
'y+1/4,-x+3/4,-z+1/4'
'-x+1/2,-y,z+1/2'
'x+1/2,y,-z+1/2'
'y+1/4,-x+1/4,z+3/4'
'-y+1/4,x+1/4,-z+3/4'
'x,-y,-z'
'-x,y,z'
'-y+1/4,-x+1/4,-z+3/4'
'y+1/4,x+1/4,z+3/4'
'-x+1/2,y,-z+1/2'
'x+1/2,-y,z+1/2'
'y+1/4,x+3/4,-z+1/4'
'-y+1/4,-x+3/4,z+1/4'
'x+1/2,y+1/2,z+1/2'
'-x+1/2,-y+1/2,-z+1/2'
'-y+3/4,x+1/4,z+3/4'
'y+3/4,-x+1/4,-z+3/4'
'-x,-y+1/2,z'
'x,y+1/2,-z'
'y+3/4,-x+3/4,z+1/4'
'-y+3/4,x+3/4,-z+1/4'
'x+1/2,-y+1/2,-z+1/2'
'-x+1/2,y+1/2,z+1/2'
'-y+3/4,-x+3/4,-z+1/4'
'y+3/4,x+3/4,z+1/4'
'-x,y+1/2,-z'
'x,-y+1/2,z'
'y+3/4,x+1/4,-z+3/4'
'-y+3/4,-x+1/4,z+3/4'
loop_
_atom_site_label
_atom_site_fract_x
_atom_site_fract_y
_atom_site_fract_z
Zr1 0.000 0.250 0.375
# E_tot ... -8.06 eV per atom
# Formation energy from the elements ... 0.484 eV/atom